# Ta4Ge3Mo2C3

A geometry-optimized Ta4Ge3Mo2C3 structure (PBE, OQMD).

```
24
Lattice="4.8332 -2.7900 0.0000 4.8332 2.7900 0.0000 -3.2303 0.0000 12.4962" Properties=species:S:1:pos:R:3 pbc="T T T"
Ta 0.8023 0.4943 1.1846
Ta 0.8239 0.4534 5.0620
Ta -0.8128 -0.4943 7.4327
Ta -0.7913 -0.4534 11.3101
Ta 7.2274 0.4534 1.1861
Ta 7.2489 0.4943 5.0635
Ta 5.6122 -0.4534 7.4342
Ta 5.6338 -0.4943 11.3116
Ge 4.0256 2.2179 3.1241
Ge 0.8950 0.4075 9.3571
Ge 2.5101 -0.4075 3.1090
Ge 3.9260 0.4075 9.3872
Ge 5.5411 -0.4075 3.1391
Ge 2.4105 -2.2179 9.3722
Mo 4.0547 0.4548 1.0779
Mo 3.9966 0.4548 5.1702
Mo 2.4395 -0.4548 7.3261
Mo 2.3814 -0.4548 11.4183
C 2.4166 1.3950 0.0000
C 2.3816 1.4441 6.2481
C 5.6696 1.4441 0.0000
C 0.8014 -1.3950 6.2481
C 3.9968 -1.4441 0.0000
C 4.0544 -1.4441 6.2481
```

# KNiGeS3

A geometry-optimized KNiGeS3 structure (PBE, OQMD).

```
12
Lattice="7.7940 0.0000 0.0000 0.0000 3.3860 0.0000 -3.3103 0.0000 10.1275" Properties=species:S:1:pos:R:3 pbc="T T T"
K -0.5942 0.8465 2.5709
K 5.0780 2.5395 7.5566
Ni 0.8404 2.5395 8.8273
Ni 3.6434 0.8465 1.3002
Ge 1.3147 0.8465 5.6652
Ge 3.1691 2.5395 4.4623
S -0.2737 2.5395 5.4540
S -0.5577 0.8465 9.2657
S 2.4258 2.5395 2.2325
S 2.0580 0.8465 7.8951
S 5.0415 2.5395 0.8618
S 4.7575 0.8465 4.6736
```

4
Lattice="0.0000 3.4831 3.4831 3.4831 0.0000 3.4831 3.4831 3.4831 0.0000" Properties=species:S:1:pos:R:3 comment="CuHgPbAu (PBE, optimized geometry)" relative_energy_mev_per_atom=0 pbc="T T T"
Cu 0.0000 0.0000 0.0000
Hg 1.7416 1.7416 1.7416
Pb 5.2247 5.2247 5.2247
Au 3.4831 3.4831 3.4831

4
Lattice="0.0000 3.3390 3.3390 3.3390 0.0000 3.3390 3.3390 3.3390 0.0000" Properties=species:S:1:pos:R:3 comment="YBeIrPb (PBE, optimized geometry)" relative_energy_mev_per_atom=13 pbc="T T T"
Y 0.0000 0.0000 0.0000
Be 1.6695 1.6695 1.6695
Ir 3.3390 3.3390 3.3390
Pb 5.0084 5.0084 5.0084

# Rb2TlAu7

A geometry-optimized Rb2TlAu7 structure (PBE, OQMD).

```
10
Lattice="2.7554 -6.7651 0.0000 2.7554 6.7651 0.0000 0.0000 0.0000 7.4371" Properties=species:S:1:pos:R:3 pbc="T T T"
Rb 2.7554 4.6075 0.0000
Rb 2.7554 -4.6075 0.0000
Tl 0.0000 0.0000 3.7186
Au 1.3777 3.3825 3.7186
Au 2.7554 1.4184 2.2836
Au 2.7554 1.4184 5.1535
Au 1.3777 -3.3825 3.7186
Au 2.7554 0.0000 0.0000
Au 2.7554 -1.4184 2.2836
Au 2.7554 -1.4184 5.1535
```

# Zn2Sn2SbN3

A geometry-optimized Zn2Sn2SbN3 structure (PBE, OQMD).

```
8
Lattice="5.6740 -2.6082 0.0000 5.6740 2.6082 0.0000 -2.4383 0.0000 4.6739" Properties=species:S:1:pos:R:3 pbc="T T T"
Zn 0.8554 0.0000 1.6192
Zn 8.0542 0.0000 3.0547
Sn 3.9312 0.4126 0.3797
Sn 4.9784 0.4126 4.2942
Sb 4.4548 -1.3440 2.3370
N 5.6740 1.5624 0.0000
N 0.9929 -1.0719 3.5254
N 7.9167 -1.0719 1.1485
```

# Ho2As

A geometry-optimized Ho2As structure (PBE, OQMD).

```
6
Lattice="0.0000 4.2709 4.2709 4.2709 0.0000 4.2709 4.2709 4.2709 0.0000" Properties=species:S:1:pos:R:3 pbc="T T T"
Ho 0.0000 0.0000 0.0000
Ho 2.1354 2.1354 0.0000
Ho 2.1354 0.0000 2.1354
Ho 0.0000 2.1354 2.1354
As 3.2031 3.2031 3.2031
As 5.3386 5.3386 5.3386
```

9
Lattice="2.7385 0.0000 0.0000 -1.3692 2.3716 0.0000 0.0000 0.0000 19.4322" Properties=species:S:1:pos:R:3 comment="Cu2Ag (PBE, optimized geometry)" relative_energy_mev_per_atom=65 e_form_ev_per_atom=0.11 pbc="T T T"
Cu 0.0000 0.0000 2.9622
Cu 0.0000 0.0000 16.4701
Cu 0.0000 1.5811 0.9909
Cu 0.0000 1.5811 7.4706
Cu 1.3692 0.7905 11.9617
Cu 1.3692 0.7905 18.4413
Ag 0.0000 0.0000 9.7161
Ag 0.0000 1.5811 14.2113
Ag 1.3692 0.7905 5.2210

Final energy values, unit eV per cell, following the record order: -229.8 -53.6 -10.2 -22.8 -28.8 -37.4 -26.8 -29.8.